[1]
Entry from Alexandria: a geometry-optimized Li6BiB3O9 structure (PBEsol).

Cell: 6.652 7.275 16.615 Å, 90.00 90.00 105.25°
Element x y z (fractional)
B: 0.312 0.446 0.613
B: 0.688 0.554 0.387
O: 0.967 0.993 0.832
O: 0.049 0.735 0.700
O: 0.577 0.393 0.427
B: 0.157 0.085 0.867
O: 0.077 0.393 0.073
B: 0.657 0.085 0.633
Bi: 0.349 0.917 0.187
Li: 0.138 0.281 0.208
O: 0.533 0.007 0.332
Li: 0.051 0.558 0.296
Bi: 0.151 0.083 0.687
Li: 0.670 0.544 0.530
Li: 0.170 0.544 0.970
Li: 0.678 0.072 0.002
Li: 0.822 0.928 0.502
O: 0.230 0.281 0.567
O: 0.770 0.719 0.433
Li: 0.449 0.442 0.796
B: 0.004 0.288 0.381
B: 0.996 0.712 0.619
O: 0.034 0.877 0.572
Li: 0.638 0.281 0.292
O: 0.223 0.565 0.195
O: 0.549 0.735 0.800
Li: 0.551 0.558 0.204
Li: 0.322 0.928 0.998
Li: 0.830 0.456 0.030
O: 0.466 0.123 0.072
Li: 0.178 0.072 0.498
O: 0.675 0.836 0.183
Bi: 0.849 0.917 0.313
O: 0.825 0.164 0.683
O: 0.177 0.089 0.949
O: 0.270 0.719 0.067
O: 0.534 0.877 0.928
Li: 0.330 0.456 0.470
Li: 0.557 0.692 0.035
Li: 0.057 0.692 0.465
O: 0.323 0.911 0.449
O: 0.966 0.123 0.428
O: 0.951 0.265 0.300
B: 0.843 0.915 0.133
Li: 0.418 0.861 0.552
O: 0.823 0.911 0.051
O: 0.277 0.435 0.695
O: 0.723 0.565 0.305
O: 0.585 0.464 0.086
B: 0.812 0.446 0.887
O: 0.415 0.536 0.914
O: 0.423 0.607 0.573
Li: 0.949 0.442 0.704
Li: 0.582 0.139 0.448
O: 0.677 0.089 0.551
O: 0.730 0.281 0.933
Bi: 0.651 0.083 0.813
O: 0.085 0.464 0.414
O: 0.915 0.536 0.586
O: 0.467 0.993 0.668
O: 0.175 0.836 0.317
B: 0.496 0.712 0.881
O: 0.033 0.007 0.168
Li: 0.082 0.139 0.052
B: 0.343 0.915 0.367
O: 0.451 0.265 0.200
O: 0.325 0.164 0.817
Li: 0.443 0.308 0.965
Li: 0.862 0.719 0.792
Li: 0.943 0.308 0.535
O: 0.923 0.607 0.927
Li: 0.918 0.861 0.948
B: 0.188 0.554 0.113
O: 0.777 0.435 0.805
Li: 0.362 0.719 0.708
B: 0.504 0.288 0.119

Output
The space group is P2_1/c (14). Its uncorrected energy is -502.677 eV for the cell shown.

---

[2]
Entry from Alexandria: a geometry-optimized Li2BiBO4 structure (PBEsol).

Cell: 4.769 6.796 9.983 Å, 90.00 90.00 90.00°
Element x y z (fractional)
O: 0.840 0.926 0.334
O: 0.411 0.750 0.398
Li: 0.277 0.998 0.844
Bi: 0.770 0.250 0.891
O: 0.911 0.250 0.102
O: 0.589 0.250 0.602
O: 0.840 0.574 0.334
O: 0.810 0.750 0.550
Li: 0.777 0.498 0.656
O: 0.660 0.574 0.834
Li: 0.723 0.002 0.156
O: 0.089 0.750 0.898
Li: 0.277 0.502 0.844
Bi: 0.270 0.750 0.609
B: 0.234 0.250 0.099
Li: 0.777 0.002 0.656
O: 0.310 0.250 0.950
O: 0.160 0.426 0.666
O: 0.690 0.750 0.050
O: 0.340 0.426 0.166
O: 0.660 0.926 0.834
O: 0.340 0.074 0.166
B: 0.766 0.750 0.901
Li: 0.223 0.998 0.344
B: 0.734 0.750 0.401
Bi: 0.230 0.750 0.109
Li: 0.723 0.498 0.156
Li: 0.223 0.502 0.344
O: 0.160 0.074 0.666
O: 0.190 0.250 0.450
Bi: 0.730 0.250 0.391
B: 0.266 0.250 0.599

Output
The space group is Pnma (62). Its uncorrected energy is -206.412 eV for the cell shown.

---

[3]
Entry from Alexandria: a geometry-optimized LiBi2BO5 structure (PBEsol).

Cell: 5.732 6.761 11.269 Å, 90.00 90.00 90.00°
Element x y z (fractional)
B: 0.225 0.250 0.367
Bi: 0.735 0.001 0.395
O: 0.858 0.571 0.584
O: 0.104 0.250 0.694
Li: 0.231 0.750 0.347
O: 0.117 0.750 0.777
O: 0.883 0.250 0.223
O: 0.396 0.750 0.194
Bi: 0.235 0.499 0.105
Li: 0.731 0.750 0.153
O: 0.604 0.250 0.806
O: 0.006 0.250 0.954
O: 0.142 0.071 0.416
Bi: 0.265 0.501 0.605
B: 0.275 0.750 0.867
O: 0.358 0.571 0.916
O: 0.858 0.929 0.584
O: 0.383 0.250 0.277
Li: 0.769 0.250 0.653
O: 0.358 0.929 0.916
O: 0.617 0.750 0.723
Bi: 0.735 0.499 0.395
B: 0.775 0.750 0.633
O: 0.142 0.429 0.416
Bi: 0.265 0.999 0.605
O: 0.506 0.250 0.546
O: 0.896 0.750 0.306
O: 0.642 0.071 0.084
Li: 0.269 0.250 0.847
O: 0.994 0.750 0.046
Bi: 0.765 0.999 0.895
Bi: 0.765 0.501 0.895
Bi: 0.235 0.001 0.105
O: 0.494 0.750 0.454
B: 0.725 0.250 0.133
O: 0.642 0.429 0.084

Output
The space group is Pnma (62). Its uncorrected energy is -235.907 eV for the cell shown.

---

[4]
Entry from Alexandria: a geometry-optimized Li2BiBO5 structure (PBEsol).

Cell: 4.643 6.237 6.237 Å, 90.00 90.00 90.00°
Element x y z (fractional)
Li: 0.000 0.750 0.250
O: 0.295 0.819 0.000
Li: 0.000 0.250 0.750
O: 0.295 0.500 0.681
O: 0.295 0.181 0.000
Bi: 0.448 0.500 0.000
O: 0.884 0.500 0.000
Li: 0.000 0.250 0.250
O: 0.705 0.681 0.500
Li: 0.000 0.750 0.750
B: 0.500 0.000 0.000
O: 0.705 0.319 0.500
O: 0.295 0.500 0.319
O: 0.705 0.000 0.181
O: 0.705 0.000 0.819
O: 0.116 0.000 0.500
Bi: 0.552 0.000 0.500
B: 0.500 0.500 0.500

Output
The space group is P4/nmm (129). Its uncorrected energy is -113.903 eV for the cell shown.

---

[5]
Entry from Alexandria: a geometry-optimized Li3BiB2O6 structure (PBEsol).

Cell: 4.914 7.244 8.137 Å, 68.29 85.21 86.10°
Element x y z (fractional)
O: 0.695 0.239 0.400
O: 0.305 0.761 0.600
O: 0.324 0.002 0.301
Li: 0.694 0.759 0.645
B: 0.320 0.692 0.088
B: 0.680 0.308 0.912
Bi: 0.783 0.563 0.321
O: 0.924 0.812 0.422
Li: 0.804 0.927 0.931
Li: 0.292 0.950 0.731
Li: 0.196 0.073 0.069
O: 0.793 0.468 0.767
O: 0.608 0.688 0.069
O: 0.676 0.998 0.699
Li: 0.708 0.050 0.269
Li: 0.306 0.241 0.355
Bi: 0.217 0.437 0.679
B: 0.187 0.863 0.436
O: 0.392 0.312 0.931
O: 0.827 0.155 0.019
O: 0.076 0.188 0.578
O: 0.173 0.845 0.981
O: 0.207 0.532 0.233
B: 0.813 0.137 0.564

Output
The space group is P-1 (2). Its uncorrected energy is -161.417 eV for the cell shown.

---

[6]
Entry from Alexandria: a geometry-optimized LiBiB2O5 structure (PBEsol).

Cell: 3.744 5.405 5.405 Å, 110.72 92.69 92.69°
Element x y z (fractional)
O: 0.828 0.923 0.436
Li: 0.500 0.602 0.398
B: 0.609 0.128 0.507
O: 0.505 0.688 0.779
O: 0.172 0.564 0.077
O: 0.500 0.235 0.765
Bi: 0.000 0.954 0.046
B: 0.391 0.493 0.872
O: 0.495 0.221 0.312

Output
The space group is C2 (5). Its uncorrected energy is -65.010 eV for the cell shown.

---

[7]
Entry from Alexandria: a geometry-optimized LiBi4B3O11 structure (PBEsol).

Cell: 6.405 6.405 12.238 Å, 82.07 82.07 90.13°
Element x y z (fractional)
O: 0.141 0.028 0.845
B: 0.161 0.148 0.425
Bi: 0.063 0.401 0.171
O: 0.306 0.115 0.993
Bi: 0.599 0.937 0.329
Bi: 0.195 0.594 0.572
B: 0.852 0.839 0.075
O: 0.325 0.675 0.750
O: 0.007 0.401 0.704
Bi: 0.937 0.599 0.829
O: 0.859 0.972 0.155
B: 0.148 0.161 0.925
B: 0.839 0.852 0.575
Bi: 0.805 0.406 0.428
O: 0.992 0.684 0.054
O: 0.008 0.316 0.946
O: 0.885 0.694 0.507
O: 0.501 0.597 0.338
O: 0.694 0.885 0.007
O: 0.316 0.008 0.446
O: 0.115 0.306 0.493
B: 0.480 0.520 0.750
O: 0.597 0.501 0.838
O: 0.403 0.499 0.162
O: 0.599 0.993 0.796
Li: 0.105 0.895 0.250
O: 0.972 0.859 0.655
O: 0.684 0.992 0.554
O: 0.993 0.599 0.296
O: 0.499 0.403 0.662
O: 0.401 0.007 0.204
Li: 0.895 0.105 0.750
B: 0.520 0.480 0.250
Bi: 0.594 0.195 0.072
Bi: 0.406 0.805 0.928
Bi: 0.401 0.063 0.671
O: 0.028 0.141 0.345
O: 0.675 0.325 0.250

Output
The space group is C2/c (15). Its uncorrected energy is -263.048 eV for the cell shown.

---

[8]
Entry from Alexandria: a geometry-optimized Li2Bi2B2O7 structure (PBEsol).

Cell: 6.566 10.019 10.447 Å, 116.31 90.00 90.00°
Element x y z (fractional)
B: 0.281 0.329 0.925
Li: 0.823 0.412 0.485
B: 0.641 0.226 0.144
O: 0.292 0.181 0.367
O: 0.740 0.155 0.215
O: 0.212 0.425 0.058
O: 0.551 0.831 0.909
O: 0.788 0.575 0.942
Li: 0.323 0.588 0.015
O: 0.577 0.627 0.145
O: 0.708 0.819 0.633
Bi: 0.536 0.008 0.816
Bi: 0.433 0.195 0.583
Bi: 0.964 0.008 0.316
Bi: 0.567 0.805 0.417
O: 0.737 0.335 0.121
B: 0.859 0.226 0.644
O: 0.449 0.169 0.091
O: 0.949 0.831 0.409
B: 0.719 0.671 0.075
O: 0.051 0.169 0.591
O: 0.260 0.845 0.785
Li: 0.889 0.484 0.286
O: 0.712 0.575 0.442
B: 0.141 0.774 0.356
O: 0.240 0.845 0.285
O: 0.377 0.977 0.599
O: 0.923 0.627 0.645
B: 0.781 0.671 0.575
B: 0.219 0.329 0.425
Li: 0.111 0.516 0.714
O: 0.763 0.335 0.621
O: 0.123 0.977 0.099
O: 0.760 0.155 0.715
Bi: 0.067 0.195 0.083
O: 0.288 0.425 0.558
Bi: 0.464 0.992 0.184
O: 0.077 0.373 0.355
O: 0.208 0.181 0.867
Li: 0.611 0.484 0.786
Li: 0.177 0.588 0.515
O: 0.237 0.665 0.379
Li: 0.677 0.412 0.985
Bi: 0.036 0.992 0.684
Li: 0.389 0.516 0.214
O: 0.792 0.819 0.133
O: 0.877 0.023 0.901
Bi: 0.933 0.805 0.917
O: 0.623 0.023 0.401
B: 0.359 0.774 0.856
O: 0.423 0.373 0.855
O: 0.263 0.665 0.879

Output
The space group is P2_1/c (14). Its uncorrected energy is -352.093 eV for the cell shown.

---

Which of these has the lowest uncorrected energy?
Li6BiB3O9